1.
A relaxed structure of MgScInFe2, computed with PBE-GGA.

Structure (CIF):
```
data_MgScInFe2
_cell_length_a 4.627
_cell_length_b 4.627
_cell_length_c 4.943
_cell_angle_alpha 90.00
_cell_angle_beta 90.00
_cell_angle_gamma 90.00
_space_group_name_H-M_alt 'P 4/m m m'
_space_group_IT_number 123
_space_group_name_Hall '-P 4 2'
loop_
_atom_site_label
_atom_site_type_symbol
_atom_site_fract_x
_atom_site_fract_y
_atom_site_fract_z
_atom_site_occupancy
Mg1 Mg 0.000 0.000 0.000 1
Sc1 Sc 0.500 0.500 0.500 1
In1 In 0.000 0.000 0.500 1
Fe1 Fe 0.000 0.500 0.000 1
```

Computed properties:
* energy relative to the elements: 0.944 eV per atom
* size of the total moment: 4.47 μB/cell
* crystal system: tetragonal

=====

2.
A relaxed structure of MgInFe2Sn, computed with PBE-GGA.

Structure (CIF):
```
data_MgInFe2Sn
_cell_length_a 4.914
_cell_length_b 4.914
_cell_length_c 5.188
_cell_angle_alpha 90.00
_cell_angle_beta 90.00
_cell_angle_gamma 90.00
_space_group_name_H-M_alt 'P 4/m m m'
_space_group_IT_number 123
_space_group_name_Hall '-P 4 2'
loop_
_atom_site_label
_atom_site_type_symbol
_atom_site_fract_x
_atom_site_fract_y
_atom_site_fract_z
_atom_site_occupancy
Mg1 Mg 0.000 0.000 0.000 1
In1 In 0.500 0.500 0.000 1
Fe1 Fe 0.000 0.500 0.500 1
Sn1 Sn 0.000 0.000 0.500 1
```

Computed properties:
* energy relative to the elements: 0.903 eV per atom
* size of the total moment: 5.44 μB/cell
* crystal system: tetragonal

=====

3.
A relaxed structure of Th3Mg2In3Fe, computed with PBE-GGA.

Structure (CIF):
```
data_Th3Mg2In3Fe
_cell_length_a 8.6375
_cell_length_b 8.6375
_cell_length_c 3.5854
_cell_angle_alpha 90.00
_cell_angle_beta 90.00
_cell_angle_gamma 120.00
_space_group_name_H-M_alt 'P -6 2 m'
_space_group_IT_number 189
_space_group_name_Hall 'P -6 -2'
loop_
_atom_site_label
_atom_site_type_symbol
_atom_site_fract_x
_atom_site_fract_y
_atom_site_fract_z
_atom_site_occupancy
Th1 Th 0.0000 0.7566 0.0000 1
Mg1 Mg 0.3333 0.6667 0.0000 1
In1 In 0.0000 0.3993 0.5000 1
Fe1 Fe 0.0000 0.0000 0.5000 1
```

Computed properties:
* energy relative to the elements: -0.156 eV per atom
* size of the total moment: 0.00 μB/cell
* crystal system: hexagonal

=====

4.
A relaxed structure of MnInFe, computed with PBE-GGA.

Structure (CIF):
```
data_MnInFe
_cell_length_a 4.3390
_cell_length_b 4.3390
_cell_length_c 2.7727
_cell_angle_alpha 90.00
_cell_angle_beta 90.00
_cell_angle_gamma 120.00
_space_group_name_H-M_alt 'P -6 m 2'
_space_group_IT_number 187
_space_group_name_Hall 'P -6 2'
loop_
_atom_site_label
_atom_site_type_symbol
_atom_site_fract_x
_atom_site_fract_y
_atom_site_fract_z
_atom_site_occupancy
Mn1 Mn 0.0000 0.0000 0.0000 1
In1 In 0.6667 0.3333 0.5000 1
Fe1 Fe 0.3333 0.6667 0.0000 1
```

Computed properties:
* energy relative to the elements: 0.306 eV per atom
* size of the total moment: 4.86 μB/cell
* crystal system: hexagonal

=====

5.
A relaxed structure of MnInFe, computed with PBE-GGA.

Structure (CIF):
```
data_MnInFe
_cell_length_a 4.4812
_cell_length_b 4.4812
_cell_length_c 5.4559
_cell_angle_alpha 90.00
_cell_angle_beta 90.00
_cell_angle_gamma 120.00
_space_group_name_H-M_alt 'P 63/m m c'
_space_group_IT_number 194
_space_group_name_Hall '-P 6c 2c'
loop_
_atom_site_label
_atom_site_type_symbol
_atom_site_fract_x
_atom_site_fract_y
_atom_site_fract_z
_atom_site_occupancy
Mn1 Mn 0.0000 0.0000 0.0000 1
In1 In 0.3333 0.6667 0.2500 1
Fe1 Fe 0.3333 0.6667 0.7500 1
```

Computed properties:
* energy relative to the elements: 0.292 eV per atom
* size of the total moment: 11.84 μB/cell
* crystal system: hexagonal

=====

6.
A relaxed structure of MnInFe, computed with PBE-GGA.

Structure (CIF):
```
data_MnInFe
_cell_length_a 2.9187
_cell_length_b 2.9187
_cell_length_c 6.2289
_cell_angle_alpha 90.00
_cell_angle_beta 90.00
_cell_angle_gamma 120.00
_space_group_name_H-M_alt 'P 3 m 1'
_space_group_IT_number 156
_space_group_name_Hall 'P 3 -2"'
loop_
_atom_site_label
_atom_site_type_symbol
_atom_site_fract_x
_atom_site_fract_y
_atom_site_fract_z
_atom_site_occupancy
Mn1 Mn 0.0000 0.0000 0.0000 1
In1 In 0.3333 0.6667 0.6277 1
Fe1 Fe 0.6667 0.3333 0.2646 1
```

Computed properties:
* energy relative to the elements: 0.450 eV per atom
* size of the total moment: 3.87 μB/cell
* crystal system: trigonal

=====

7.
A relaxed structure of Mn3InFe, computed with PBE-GGA.

Structure (CIF):
```
data_Mn3InFe
_cell_length_a 4.356
_cell_length_b 4.356
_cell_length_c 4.356
_cell_angle_alpha 90.00
_cell_angle_beta 90.00
_cell_angle_gamma 90.00
_space_group_name_H-M_alt 'P m -3 m'
_space_group_IT_number 221
_space_group_name_Hall '-P 4 2 3'
loop_
_atom_site_label
_atom_site_type_symbol
_atom_site_fract_x
_atom_site_fract_y
_atom_site_fract_z
_atom_site_occupancy
Mn1 Mn 0.000 0.000 0.500 1
In1 In 0.500 0.500 0.500 1
Fe1 Fe 0.000 0.000 0.000 1
```

Computed properties:
* polymorph energy (0 for the lowest one): 0.000 eV per formula unit
* energy relative to the elements: 0.819 eV per atom
* size of the total moment: 7.16 μB/cell
* crystal system: cubic

=====

8.
A relaxed structure of Mn2In2Fe, computed with PBE-GGA.

Structure (CIF):
```
data_Mn2In2Fe
_cell_length_a 7.287
_cell_length_b 7.287
_cell_length_c 3.324
_cell_angle_alpha 90.00
_cell_angle_beta 90.00
_cell_angle_gamma 90.00
_space_group_name_H-M_alt 'P 4/m b m'
_space_group_IT_number 127
_space_group_name_Hall '-P 4 2ab'
loop_
_atom_site_label
_atom_site_type_symbol
_atom_site_fract_x
_atom_site_fract_y
_atom_site_fract_z
_atom_site_occupancy
Mn1 Mn 0.156 0.344 0.000 1
In1 In 0.145 0.645 0.500 1
Fe1 Fe 0.000 0.000 0.500 1
```

Computed properties:
* polymorph energy (0 for the lowest one): 0.000 eV per formula unit
* energy relative to the elements: 0.487 eV per atom
* size of the total moment: 18.73 μB/cell
* crystal system: tetragonal

=====

Question: Which value of size of the total moment does entry 8 give?
Answer: 18.73 μB/cell